## DyLuCoCu (PBE)

Data for crystalline DyLuCoCu at its relaxed geometry.

Computed properties:
For the size of the total moment, the calculation gives 0.33 μB/cell. The formation enthalpy at 0 K comes out at -0.229 eV/atom. Its density of states at the Fermi level is 3.403 states/eV per cell.

Cell lengths 4.753, 4.753, 4.753 Å; angles 60.00, 60.00, 60.00 degrees
Sites, in units of the cell vectors:
Lu (0.500, 0.500, 0.500)
Co (0.750, 0.750, 0.750)
Cu (0.250, 0.250, 0.250)
Dy (0.000, 0.000, 0.000)